## w
First-principles (PBE) data for PmIBr2 after structural relaxation, as listed in Alexandria.

The structure in extended XYZ format:
```
4
Lattice="4.1990 -0.0569 -0.9278 -0.5288 5.5367 -2.7329 -0.1524 0.2690 7.6007" Properties=species:S:1:pos:R:3 pbc="T T T"
Br 3.3958 2.1080 3.6138
Br 0.1221 3.6407 0.3262
I 2.0995 -0.0285 -0.4639
Pm 1.8351 2.7399 -1.8303
```

Values from the calculation:
- size of the total moment (μB per formula unit) = 0.00

## x
First-principles (PBE) data for PmIBr2 after structural relaxation, as listed in Alexandria.

The structure in extended XYZ format:
```
4
Lattice="3.9493 0.0000 0.0000 1.9747 3.4202 0.0000 1.9747 1.1401 11.4662" Properties=species:S:1:pos:R:3 pbc="T T T"
Br 1.9747 1.1401 7.5860
Br 5.9240 3.4202 3.8803
Pm 3.9493 2.2802 5.7331
I 0.0000 0.0000 0.0000
```

Values from the calculation:
- size of the total moment (μB per formula unit) = 0.00

Stability, highest: w

## w
First-principles (PBE) data for Pm2I3Br after structural relaxation, as listed in Alexandria.

The structure in extended XYZ format:
```
12
Lattice="8.1613 0.0000 0.0000 0.0000 7.1927 -4.1527 0.0000 0.0000 8.3054" Properties=species:S:1:pos:R:3 pbc="T T T"
Br 1.7441 2.3976 4.1527
Br 6.4172 4.7951 0.0000
Pm 0.0000 3.5964 2.0764
Pm 0.0000 3.5964 -2.0764
Pm 0.0000 0.0000 0.0000
Pm 0.0000 0.0000 4.1527
I 2.0746 2.4034 0.0000
I 6.0867 1.2017 2.0814
I 6.0867 1.2017 6.2240
I 2.0746 5.9910 -2.0713
I 6.0867 4.7893 4.1527
I 2.0746 5.9910 2.0713
```

Values from the calculation:
- size of the total moment (μB per formula unit) = 0.00

## x
First-principles (PBE) data for Pm2I3Br after structural relaxation, as listed in Alexandria.

The structure in extended XYZ format:
```
12
Lattice="4.1397 0.0000 0.0000 2.0699 10.5163 -0.8805 2.0699 1.4916 11.6097" Properties=species:S:1:pos:R:3 pbc="T T T"
Pm 4.1397 4.1399 5.8789
Pm 6.2096 5.9603 9.8444
Pm 2.0699 6.0476 0.8849
Pm 4.1397 7.8680 4.8503
Br 4.1397 6.5854 7.6980
Br 4.1397 5.4225 3.0312
I 6.2096 9.6200 6.3727
I 2.0699 2.3878 4.3565
I 2.0699 3.2148 8.1653
I 6.2096 8.7931 2.5639
I 6.2096 9.0437 10.6030
I 2.0699 2.9641 0.1262
```

Values from the calculation:
- size of the total moment (μB per formula unit) = 1.04

Stability, highest: w

## w
First-principles (PBE) data for Pr2IBr after structural relaxation, as listed in Alexandria.

The structure in extended XYZ format:
```
4
Lattice="3.8463 0.0000 0.0000 1.9231 3.3310 0.0000 1.9231 1.1103 9.5567" Properties=species:S:1:pos:R:3 pbc="T T T"
Br 5.7694 3.3310 9.5508
I 3.8463 2.2207 4.7769
Pr 1.9231 1.1103 7.2076
Pr 1.9231 1.1103 2.3565
```

Values from the calculation:
- size of the total moment (μB per formula unit) = 0.00

## x
First-principles (PBE) data for Pr2IBr after structural relaxation, as listed in Alexandria.

The structure in extended XYZ format:
```
4
Lattice="-3.2680 0.1697 -1.9641 -0.4363 -2.0911 -3.1628 -4.8087 -7.9357 3.6073" Properties=species:S:1:pos:R:3 pbc="T T T"
Pr -2.0945 -2.3953 -0.4302
Pr -6.4185 -7.4617 -1.0895
Br 0.0000 0.0000 0.0000
I -4.2565 -4.9285 -0.7598
```

Values from the calculation:
- size of the total moment (μB per formula unit) = 0.00

Stability, highest: w

## w
First-principles (PBE) data for Pr2I2Br3 after structural relaxation, as listed in Alexandria.

The structure in extended XYZ format:
```
7
Lattice="4.5970 0.0000 -0.0487 0.0000 4.6065 0.0000 -2.1855 0.0000 15.0304" Properties=species:S:1:pos:R:3 pbc="T T T"
Pr 0.0758 0.0000 2.9953
Pr 2.3357 0.0000 11.9864
I 2.3647 2.3032 2.6854
I 0.0468 2.3032 12.2963
Br 0.0379 0.0000 5.6736
Br 0.0000 0.0000 0.0000
Br 2.3736 0.0000 9.3081
```

Values from the calculation:
- size of the total moment (μB per formula unit) = 0.00

## x
First-principles (PBE) data for Pr2I2Br3 after structural relaxation, as listed in Alexandria.

The structure in extended XYZ format:
```
7
Lattice="3.8360 0.0000 1.0241 1.5267 5.8037 1.9778 -1.0958 -0.1322 11.8002" Properties=species:S:1:pos:R:3 pbc="T T T"
I 1.1738 2.6086 3.2993
I 3.0930 3.0629 11.5029
Br 1.9180 0.0000 0.5121
Br 2.3620 4.7310 6.5451
Br 1.9049 0.9405 8.2572
Pr 1.0516 5.5358 11.4531
Pr 3.2153 0.1357 3.3491
```

Values from the calculation:
- size of the total moment (μB per formula unit) = 0.00

Stability, highest: x